Density functional theory data (GGA-PBE) for ErTm2Mg3TlGa2 after structural relaxation.

Cell: 4.518 7.270 7.270 Å, 120.08 90.00 90.00°
Sites, in units of the cell vectors:
Er  0.000  0.000  0.000
Tm  0.000  0.438  0.876
Tm  0.000  0.876  0.438
Mg  0.500  0.188  0.438
Mg  0.500  0.438  0.188
Mg  0.500  0.689  0.689
Tl  0.000  0.439  0.439
Ga  0.500  0.105  0.771
Ga  0.500  0.771  0.105

Output
Spin magnetization (μB per cell): 0.00
E (eV/atom): -3.37